Entry 1:
DFT (PBE-GGA) results for an optimized crystal structure of Mn3SiH.

Calculated values
size of the total moment	0.6	μB per cell
V	93.9	Å³ per cell
offset from the most stable computed form	71	meV/atom
raw total energy	-74.280	eV/cell

a b c (Å): 7.287 7.287 7.287
angles (deg): 150.76 150.14 42.28
Fractional coordinates of all 10 atoms:
1 Mn 0.058 0.808 0.250
2 Mn 0.294 0.044 0.250
3 Mn 0.438 0.688 0.750
4 Mn 0.562 0.312 0.250
5 Mn 0.706 0.956 0.750
6 Mn 0.942 0.192 0.750
7 Si 0.176 0.426 0.750
8 Si 0.824 0.574 0.250
9 H 0.429 0.179 0.250
10 H 0.571 0.821 0.750



Entry 2:
DFT (PBE-GGA) results for an optimized crystal structure of ScGe2H.

Calculated values
size of the total moment	0.0	μB per cell
V	139.2	Å³ per cell
offset from the most stable computed form	0	meV/atom
raw total energy	-36.400	eV/cell

a b c (Å): 6.499 6.499 6.499
angles (deg): 134.12 134.12 66.90
Fractional coordinates of all 8 atoms:
1 Sc 0.000 0.000 0.000
2 Sc 0.750 0.250 0.500
3 Ge 0.321 0.625 0.196
4 Ge 0.375 0.571 0.696
5 Ge 0.429 0.125 0.804
6 Ge 0.875 0.679 0.304
7 H 0.250 0.750 0.500
8 H 0.500 0.500 0.000



Entry 3:
DFT (PBE-GGA) results for an optimized crystal structure of CaMgSnCl6.

Calculated values
size of the total moment	0.0	μB per cell
V	492.3	Å³ per cell
raw total energy	-68.473	eV/cell
raw formation energy	-1729	meV per atom

a b c (Å): 6.801 6.801 12.292
angles (deg): 90.00 90.00 120.00
Fractional coordinates of all 18 atoms:
1 Ca 0.333 0.667 0.250
2 Ca 0.667 0.333 0.750
3 Mg 0.333 0.667 0.750
4 Mg 0.667 0.333 0.250
5 Sn 0.000 0.000 0.000
6 Sn 0.000 0.000 0.500
7 Cl 0.024 0.364 0.632
8 Cl 0.024 0.660 0.868
9 Cl 0.340 0.364 0.868
10 Cl 0.340 0.976 0.632
11 Cl 0.364 0.024 0.132
12 Cl 0.364 0.340 0.368
13 Cl 0.636 0.660 0.632
14 Cl 0.636 0.976 0.868
15 Cl 0.660 0.024 0.368
16 Cl 0.660 0.636 0.132
17 Cl 0.976 0.340 0.132
18 Cl 0.976 0.636 0.368



Entry 4:
DFT (PBE-GGA) results for an optimized crystal structure of GaRe.

Calculated values
size of the total moment	0.0	μB per cell
V	79.9	Å³ per cell
raw total energy	-26.129	eV/cell

a b c (Å): 4.317 4.317 4.947
angles (deg): 90.00 90.00 120.00
Fractional coordinates of all 4 atoms:
1 Ga 0.333 0.667 0.250
2 Ga 0.667 0.333 0.750
3 Re 0.333 0.667 0.750
4 Re 0.667 0.333 0.250